Entry from the Alexandria database: crystalline RbC at its relaxed geometry (PBE).

Unit cell a=3.899 b=3.899 c=3.899 alpha=90.00 beta=90.00 gamma=90.00
Space group Pm-3m (No. 221)
Asymmetric unit:
Rb  0.000  0.000  0.000
C  0.500  0.500  0.500

Calculated values
DFT total energy = -2.702 eV/atom
formation enthalpy at 0 K = 4.79 eV per formula unit
size of the total moment = 1.500 μB per atom
D(E_F) = 0.25 states/eV per atom